VASP calculation (PBE+U) on CoSOF2 after structural relaxation.

- Distance to the lowest polymorph of the same formula: 282.8 meV/atom
- Total magnetic moment: 2.81 μB/f.u.

CIF file:
```
data_CoSOF2
_chemical_formula_sum 'Co1 S1 O1 F2'
_space_group_name_H-M_alt 'P 4/m m m'
_space_group_IT_number 123
_space_group_name_Hall '-P 4 2'
_cell_length_a 4.555
_cell_length_b 4.555
_cell_length_c 3.406
_cell_angle_alpha 90.00
_cell_angle_beta 90.00
_cell_angle_gamma 90.00
loop_
_atom_site_label
_atom_site_type_symbol
_atom_site_fract_x
_atom_site_fract_y
_atom_site_fract_z
Co1 Co 0.000 0.000 0.000
S1 S 0.500 0.500 0.500
O1 O 0.500 0.500 0.000
F1 F 0.000 0.500 0.500
```